Record 1
Entry from Alexandria: an optimized crystal structure of Na2HoMoPO8 (PBEsol).

Unit cell a=6.843 b=11.994 c=17.939 alpha=90.00 beta=90.00 gamma=90.00
Space group Ibca (No. 73)
Asymmetric unit:
Na 0.009 0.055 0.154 [16 per cell]
Ho 0.250 0.180 0.500 [8 per cell]
Mo 0.000 0.250 0.323 [8 per cell]
P 0.250 0.068 0.000 [8 per cell]
O 0.037 0.130 0.769 [16 per cell]
O 0.074 0.148 0.007 [16 per cell]
O 0.211 0.228 0.379 [16 per cell]
O 0.240 0.009 0.569 [16 per cell]

## Properties
DOS(E_F) in states/eV/f.u.: 0.00
Uncorrected energy in eV/atom: -7.7052

Record 2
Entry from Alexandria: an optimized crystal structure of Ho2Mo3O12 (PBEsol).

Unit cell a=7.296 b=7.296 c=10.504 alpha=90.00 beta=90.00 gamma=90.00
Space group P-42_1m (No. 113)
Asymmetric unit:
Ho 0.186 0.314 0.262 [4 per cell]
Mo 0.000 0.000 0.000 [2 per cell]
Mo 0.206 0.294 0.644 [4 per cell]
O 0.007 0.775 0.704 [8 per cell]
O 0.043 0.191 0.097 [8 per cell]
O 0.126 0.626 0.309 [4 per cell]
O 0.195 0.305 0.478 [4 per cell]

## Properties
DOS(E_F) in states/eV/f.u.: 0.00
Uncorrected energy in eV/atom: -8.9155